Record 1
Compound: Tb2Bi
Source: Alexandria
Functional: PBE
Structure: relaxed

Unit cell a=4.5432 b=6.5047 c=7.1141 alpha=111.23 beta=90.00 gamma=110.44
Closest atoms and distances in Å follow each position.
Positions (direct):
Tb: 0.6751 0.3503 0.1057  3 Bi 3.17-3.44, 2 Tb 3.49
Tb: 0.9849 0.9698 0.7272  4 Bi 3.29-3.43, 5 Tb 3.39-3.60
Bi: 0.3395 0.6789 0.3865  7 Tb 3.17-3.44
Tb: 0.0151 0.0302 0.2728  4 Bi 3.29-3.43, 5 Tb 3.39-3.60
Tb: 0.3249 0.6497 0.8943  3 Bi 3.17-3.44, 2 Tb 3.49
Bi: 0.6605 0.3211 0.6135  7 Tb 3.17-3.44

## Properties
* energy relative to the elements: -11.3 kcal/mol of atoms
* crystal system: monoclinic
* DFT total energy: -4.87 eV/atom
* N(E_F): 6.00 states/eV/cell


Record 2
Compound: PuBRu2C
Source: Alexandria
Functional: PBE
Structure: relaxed

Unit cell a=3.5832 b=5.7312 c=6.9470 alpha=90.00 beta=90.00 gamma=108.22
Closest atoms and distances in Å follow each position.
Positions (direct):
Ru: 0.1723 0.3445 0.9367  1 C 1.93
Pu: 0.5497 0.0994 0.2500  4 C 2.55
C: 0.0000 0.0000 0.0000  2 Ru 1.93
B: 0.2738 0.5476 0.2500  6 Ru 2.29-2.44
B: 0.7262 0.4524 0.7500  6 Ru 2.29-2.44
C: 0.0000 0.0000 0.5000  2 Ru 1.93
Ru: 0.8277 0.6555 0.4367  1 C 1.93
Ru: 0.1723 0.3445 0.5633  1 C 1.93
Pu: 0.4503 0.9006 0.7500  4 C 2.55
Ru: 0.8277 0.6555 0.0633  1 C 1.93

## Properties
* energy relative to the elements: -3.1 kcal/mol of atoms
* crystal system: orthorhombic
* DFT total energy: -9.89 eV/atom
* N(E_F): 19.84 states/eV/cell


Record 3
Compound: ZrReOs
Source: Alexandria
Functional: PBE
Structure: relaxed

Unit cell a=6.3552 b=6.3552 c=2.9323 alpha=76.66 beta=76.66 gamma=26.68
Closest atoms and distances in Å follow each position.
Positions (direct):
Zr: 0.6648 0.6648 0.3352  4 Zr 2.93, 4 Os 3.01, 4 Re 3.05
Os: 0.9837 0.9837 0.0163  4 Re 2.61
Re: 0.3515 0.3515 0.6485  4 Os 2.61

## Properties
* energy relative to the elements: -1.9 kcal/mol of atoms
* crystal system: tetragonal
* DFT total energy: -10.83 eV/atom
* N(E_F): 3.57 states/eV/cell
* ΔE to the lowest computed polymorph: 0.27 eV/f.u.


Record 4
Compound: HfUTi
Source: Alexandria
Functional: PBE
Structure: relaxed

Unit cell a=3.3647 b=3.3647 c=5.8156 alpha=106.82 beta=106.82 gamma=90.00
Closest atoms and distances in Å follow each position.
Positions (direct):
Ti: 0.2997 0.2997 0.5993  4 U 2.77, 4 Hf 3.07
U: 0.9334 0.9334 0.8668  4 Ti 2.77, 4 Hf 3.07
Hf: 0.6169 0.6169 0.2339  5 Ti 3.07-3.37, 5 U 3.07-3.36, 4 Hf 3.36

## Properties
* energy relative to the elements: 6.5 kcal/mol of atoms
* crystal system: tetragonal
* DFT total energy: -9.43 eV/atom
* N(E_F): 6.65 states/eV/cell
* ΔE to the lowest computed polymorph: 0.51 eV/f.u.


Record 5
Compound: SrLiV
Source: Alexandria
Functional: PBE
Structure: relaxed

Unit cell a=5.3210 b=5.3210 c=7.5016 alpha=90.00 beta=90.00 gamma=120.00
Closest atoms and distances in Å follow each position.
Positions (direct):
V: 0.0000 0.0000 0.3793  1 V 1.81
Li: 0.6667 0.3333 0.0000  6 Sr 3.63, 2 Li 3.75
V: 0.0000 0.0000 0.6207  1 V 1.81
Sr: 0.3333 0.6667 0.2589  3 V 3.20, 3 Li 3.56
Li: 0.6667 0.3333 0.5000  6 V 3.20, 6 Sr 3.56
Sr: 0.3333 0.6667 0.7411  3 V 3.20, 3 Li 3.56

## Properties
* energy relative to the elements: 17.0 kcal/mol of atoms
* crystal system: hexagonal
* DFT total energy: -3.50 eV/atom
* N(E_F): 5.69 states/eV/cell
* ΔE to the lowest computed polymorph: 0.85 eV/f.u.


Record 6
Compound: Dy4YRh2
Source: Alexandria
Functional: PBE
Structure: relaxed

Unit cell a=6.3790 b=7.8556 c=7.8329 alpha=112.58 beta=90.00 gamma=90.00
Closest atoms and distances in Å follow each position.
Positions (direct):
Rh: 0.7500 0.3742 0.4126  4 Dy 2.72-3.02, 1 Y 2.85
Dy: 0.7500 0.7512 0.6646  2 Rh 2.73-2.86
Rh: 0.7500 0.7438 0.0100  6 Dy 2.73-3.03
Rh: 0.2500 0.2562 0.9900  6 Dy 2.73-3.03
Y: 0.2500 0.8418 0.9745  1 Rh 2.85
Rh: 0.2500 0.6258 0.5874  4 Dy 2.72-3.02, 1 Y 2.85
Dy: 0.2500 0.9823 0.6176  2 Rh 2.72-2.88
Dy: 0.0025 0.5889 0.2376  4 Rh 2.99-3.08, 2 Dy 3.16-3.22
Y: 0.7500 0.1582 0.0255  1 Rh 2.85
Dy: 0.5025 0.4111 0.7624  4 Rh 2.99-3.08, 2 Dy 3.16-3.22
Dy: 0.9975 0.4111 0.7624  4 Rh 2.99-3.08, 2 Dy 3.16-3.22
Dy: 0.4975 0.5889 0.2376  4 Rh 2.99-3.08, 2 Dy 3.16-3.22
Dy: 0.2500 0.2488 0.3354  2 Rh 2.73-2.86
Dy: 0.7500 0.0177 0.3824  2 Rh 2.72-2.88

## Properties
* energy relative to the elements: -11.1 kcal/mol of atoms
* crystal system: monoclinic
* DFT total energy: -6.13 eV/atom
* N(E_F): 15.89 states/eV/cell


Record 7
Compound: La3ReBi
Source: Alexandria
Functional: PBE
Structure: relaxed

Unit cell a=5.5256 b=5.5256 c=5.5256 alpha=90.00 beta=90.00 gamma=90.00
Closest atoms and distances in Å follow each position.
Positions (direct):
La: 0.0000 0.0000 0.5000  2 Re 2.76
Bi: 0.5000 0.5000 0.5000  12 La 3.91
La: 0.5000 0.0000 0.0000  2 Re 2.76
La: 0.0000 0.5000 0.0000  2 Re 2.76
Re: 0.0000 0.0000 0.0000  6 La 2.76

## Properties
* energy relative to the elements: -4.7 kcal/mol of atoms
* crystal system: cubic
* DFT total energy: -6.43 eV/atom
* N(E_F): 5.14 states/eV/cell
* ΔE to the lowest computed polymorph: 0.00 eV/f.u.


Record 8
Compound: CaTlIn3
Source: Alexandria
Functional: PBE
Structure: relaxed

Unit cell a=5.9188 b=5.9188 c=5.9188 alpha=90.00 beta=90.00 gamma=90.00
Closest atoms and distances in Å follow each position.
Positions (direct):
In: 0.0000 0.5000 0.0000  2 Ca 2.96
Ca: 0.0000 0.0000 0.0000  6 In 2.96
Tl: 0.5000 0.5000 0.5000  12 In 4.19
In: 0.5000 0.0000 0.0000  2 Ca 2.96
In: 0.0000 0.0000 0.5000  2 Ca 2.96

## Properties
* energy relative to the elements: 10.6 kcal/mol of atoms
* crystal system: cubic
* DFT total energy: -2.06 eV/atom
* N(E_F): 4.06 states/eV/cell
* ΔE to the lowest computed polymorph: 2.60 eV/f.u.


Respective volume values: 30.3 13.6 17.2 20.0 30.7 25.9 33.7 41.5 Å³ per atom.